# 1
BaZnPd2F8 PBE relaxed; ΔE_f (raw) = -1844 meV per atom
1.0
6.364 0.000 0.000
-3.182 5.511 0.000
0.000 0.000 7.104
Ba Zn Pd F
1 1 2 8
Direct
0.000 0.000 0.000
0.000 0.000 0.500
0.333 0.667 0.273
0.667 0.333 0.727
0.141 0.281 0.313
0.141 0.859 0.313
0.281 0.141 0.687
0.333 0.667 0.984
0.667 0.333 0.016
0.719 0.859 0.313
0.859 0.141 0.687
0.859 0.719 0.687

# 2
BaPm2F7 PBE relaxed; ΔE_f (raw) = -3780 meV per atom
1.0
3.640 -5.808 0.000
3.640 5.808 0.000
0.000 0.000 4.395
Ba Pm F
1 2 7
Direct
0.000 0.000 0.000
0.309 0.691 0.500
0.691 0.309 0.500
0.047 0.326 0.500
0.244 0.756 0.000
0.326 0.047 0.500
0.500 0.500 0.500
0.674 0.953 0.500
0.756 0.244 0.000
0.953 0.674 0.500

# 3
BaPm2F8 PBE relaxed; ΔE_f (raw) = -3991 meV per atom
1.0
5.420 -3.646 0.000
5.420 3.646 0.000
-0.456 0.000 4.608
Ba Pm F
1 2 8
Direct
0.000 0.000 0.000
0.322 0.322 0.509
0.678 0.678 0.491
0.050 0.680 0.554
0.248 0.248 0.986
0.320 0.950 0.446
0.483 0.483 0.242
0.517 0.517 0.758
0.680 0.050 0.554
0.752 0.752 0.014
0.950 0.320 0.446

# 4
BaPmF6 PBE relaxed; ΔE_f (raw) = -3384 meV per atom
1.0
2.109 1.218 7.464
-2.109 1.218 7.464
0.000 -2.436 7.464
Ba Pm F
1 1 6
Direct
0.000 0.000 0.000
0.500 0.500 0.500
0.143 0.143 0.143
0.271 0.271 0.271
0.398 0.398 0.398
0.602 0.602 0.602
0.729 0.729 0.729
0.857 0.857 0.857

# 5
BaPm2F11 PBE relaxed; ΔE_f (raw) = -3032 meV per atom
1.0
-4.169 4.564 7.007
4.169 -4.564 7.007
4.169 4.564 -7.007
Ba Pm F
2 4 22
Direct
0.250 0.250 0.000
0.750 0.750 0.000
0.189 0.673 0.862
0.311 0.173 0.483
0.689 0.827 0.517
0.811 0.327 0.138
0.000 0.500 0.500
0.016 0.079 0.348
0.044 0.415 0.153
0.178 0.945 0.123
0.231 0.579 0.063
0.238 0.085 0.629
0.262 0.891 0.847
0.269 0.332 0.348
0.322 0.445 0.767
0.456 0.609 0.371
0.484 0.832 0.063
0.500 0.000 0.500
0.516 0.168 0.937
0.544 0.391 0.629
0.678 0.555 0.233
0.731 0.668 0.652
0.738 0.109 0.153
0.762 0.915 0.371
0.769 0.421 0.937
0.822 0.055 0.877
0.956 0.585 0.847
0.984 0.921 0.652

# 6
Ba3PmF PBE relaxed; ΔE_f (raw) = -923 meV per atom
1.0
5.806 0.000 0.000
0.000 5.806 0.000
0.000 0.000 5.806
Ba Pm F
3 1 1
Direct
0.000 0.000 0.500
0.000 0.500 0.000
0.500 0.000 0.000
0.500 0.500 0.500
0.000 0.000 0.000